DFT (PBE-GGA) results for a relaxed Sm2Be3GePt4 crystal.

Formation enthalpy at 0 K, eV per formula unit: -8.95
Magnetization, μB/f.u.: 0.000
Space group: P-4m2
Uncorrected energy, eV/atom: -5.83

The structure in POSCAR format:
```
Sm2Be3GePt4
1.0
4.1369 0.0000 0.0000
0.0000 4.1369 0.0000
0.0000 0.0000 9.6844
Sm Be Ge Pt
2 3 1 4
Cartesian
0.0000 2.0685 2.3944
2.0685 0.0000 7.2900
0.0000 2.0685 8.5349
2.0685 0.0000 1.1495
2.0685 2.0685 4.8422
0.0000 0.0000 4.8422
0.0000 0.0000 0.0000
0.0000 2.0685 6.2009
2.0685 0.0000 3.4835
2.0685 2.0685 0.0000
```